First-principles (meta-GGA SCAN) data for a PBEsol-optimized structure of LaAlP, as listed in Alexandria.

Unit cell a=4.213 b=4.213 c=4.176 alpha=90.00 beta=90.00 gamma=120.00
Sites, in units of the cell vectors:
La 0.000 0.000 0.000
Al 0.667 0.333 0.500
P 0.333 0.667 0.500

Computed properties:
SG   No. 187



First-principles (meta-GGA SCAN) data for a PBEsol-optimized structure of LaSc2AlP, as listed in Alexandria.

Unit cell a=4.943 b=4.943 c=4.804 alpha=90.00 beta=90.00 gamma=90.00
Sites, in units of the cell vectors:
La 0.000 0.000 0.000
Sc 0.000 0.500 0.500
Sc 0.500 0.000 0.500
Al 0.500 0.500 0.000
P 0.500 0.500 0.500

Computed properties:
SG   No. 123



First-principles (meta-GGA SCAN) data for a PBEsol-optimized structure of LaAl2Pb2, as listed in Alexandria.

Unit cell a=6.690 b=6.690 c=6.690 alpha=138.19 beta=138.19 gamma=60.62
Sites, in units of the cell vectors:
La 0.000 0.000 0.000
Al 0.394 0.394 0.000
Al 0.606 0.606 0.000
Pb 0.250 0.750 0.500
Pb 0.750 0.250 0.500

Computed properties:
SG   No. 139



First-principles (meta-GGA SCAN) data for a PBEsol-optimized structure of La3AlPb, as listed in Alexandria.

Unit cell a=5.650 b=5.650 c=5.650 alpha=90.00 beta=90.00 gamma=90.00
Sites, in units of the cell vectors:
La 0.000 0.000 0.500
La 0.000 0.500 0.000
La 0.500 0.000 0.000
Al 0.000 0.000 0.000
Pb 0.500 0.500 0.500

Computed properties:
SG   No. 221



First-principles (meta-GGA SCAN) data for a PBEsol-optimized structure of LaAlPb2, as listed in Alexandria.

Unit cell a=5.939 b=5.939 c=5.939 alpha=134.04 beta=134.04 gamma=67.02
Sites, in units of the cell vectors:
La 0.000 0.000 0.000
Al 0.500 0.500 0.000
Pb 0.250 0.750 0.500
Pb 0.750 0.250 0.500

Computed properties:
SG   No. 139



First-principles (meta-GGA SCAN) data for a PBEsol-optimized structure of LaAlPb2, as listed in Alexandria.

Unit cell a=4.735 b=4.735 c=4.714 alpha=90.00 beta=90.00 gamma=90.00
Sites, in units of the cell vectors:
La 0.000 0.000 0.000
Al 0.500 0.500 0.000
Pb 0.000 0.500 0.500
Pb 0.500 0.000 0.500

Computed properties:
SG   No. 123



First-principles (meta-GGA SCAN) data for a PBEsol-optimized structure of LaAlPb2, as listed in Alexandria.

Unit cell a=5.985 b=5.985 c=5.985 alpha=134.87 beta=134.87 gamma=65.73
Sites, in units of the cell vectors:
La 0.000 0.000 0.000
Al 0.250 0.750 0.500
Pb 0.500 0.500 0.000
Pb 0.750 0.250 0.500

Computed properties:
SG   No. 119



First-principles (meta-GGA SCAN) data for a PBEsol-optimized structure of LaAl5Pd2, as listed in Alexandria.

Unit cell a=6.448 b=6.448 c=6.448 alpha=142.88 beta=111.97 gamma=80.13
Sites, in units of the cell vectors:
La 0.000 0.000 0.000
Al 0.161 0.350 0.811
Al 0.461 0.650 0.811
Al 0.500 0.000 0.500
Al 0.539 0.350 0.189
Al 0.839 0.650 0.189
Pd 0.259 0.759 0.500
Pd 0.741 0.241 0.500

Computed properties:
SG   No. 71



Going through the records in order, we get ΔE_f values of -2.637, -1.771, -1.101, -0.820, -1.621, -1.920, -1.596, -6.829 eV per formula unit.